[1]
PBE-GGA Pm2RuPtO8, relaxed; uncorrected formation energy = -1.70 eV/atom; ρ = 7.39 g cm⁻³
1.0
4.909 -0.115 -0.010
-0.105 4.845 -0.007
-0.005 0.007 6.749
Pm O Pt Ru
2 8 1 1
direct
0.556 0.565 0.256
0.444 0.435 0.744
0.259 0.279 0.041
0.715 0.703 0.545
0.138 0.801 0.247
0.285 0.297 0.455
0.862 0.199 0.753
0.213 0.873 0.753
0.787 0.127 0.247
0.741 0.721 0.959
0.000 0.000 0.500
0.000 0.000 0.000

=====

[2]
PBE-GGA Ba2Na6Sr3, relaxed; ΔE_f = 0.0751 eV per atom; ρ = 2.10 g cm⁻³
1.0
-1.248 -4.711 -0.858
4.779 -1.280 0.075
-3.057 -0.571 21.853
Na Ba Sr
6 2 3
direct
0.869 0.369 0.737
0.131 0.631 0.263
0.631 0.131 0.263
0.688 0.688 0.376
0.369 0.869 0.737
0.312 0.312 0.624
0.444 0.444 0.887
0.556 0.556 0.113
0.221 0.221 0.441
0.779 0.779 0.559
0.000 0.000 0.000

=====

[3]
PBE-GGA BaGaCuS3, relaxed; uncorrected formation energy = -0.96 eV/atom; ρ = 4.01 g cm⁻³
1.0
-4.218 0.563 5.592
-2.051 -5.860 3.292
4.020 -0.956 6.457
S Ga Ba Cu
6 2 2 2
direct
0.757 0.757 0.354
0.243 0.243 0.646
0.321 0.801 0.194
0.801 0.321 0.194
0.679 0.199 0.806
0.199 0.679 0.806
0.049 0.049 0.746
0.951 0.951 0.254
0.299 0.299 0.209
0.701 0.701 0.791
0.706 0.294 0.500
0.294 0.706 0.500

=====

[4]
PBE-GGA Cs3CdAs2, relaxed; ΔE_f = -0.2966 eV per atom; ρ = 4.30 g cm⁻³
1.0
8.080 0.000 -3.355
-1.198 6.749 -2.885
-0.713 -0.081 9.691
Cs As Cd
6 4 2
direct
0.500 0.750 0.000
0.021 0.822 0.645
0.376 0.678 0.355
0.624 0.322 0.645
0.500 0.250 0.000
0.979 0.178 0.355
0.268 0.089 0.178
0.910 0.589 0.178
0.090 0.411 0.822
0.732 0.911 0.822
0.000 0.750 0.000
0.000 0.250 0.000

=====

[5]
PBE-GGA Mg3TaTc, relaxed; ΔE_f = 1.3869 eV per atom; ρ = 5.32 g cm⁻³
1.0
4.788 0.000 0.000
0.000 4.788 0.000
0.000 0.000 4.788
Mg Tc Ta
3 1 1
direct
0.000 0.000 0.500
0.500 0.000 0.000
0.000 0.500 0.000
0.000 0.000 0.000
0.500 0.500 0.500

=====

[6]
PBE-GGA AlPdNF2, relaxed; uncorrected formation energy = -0.18 eV/atom; ρ = 4.02 g cm⁻³
1.0
4.550 0.000 0.000
0.000 4.550 0.000
0.000 0.000 3.696
F Al Pd N
2 1 1 1
direct
0.000 0.500 0.000
0.500 0.000 0.000
0.500 0.500 0.500
0.000 0.000 0.000
0.000 0.000 0.500

=====

[7]
PBE-GGA Li12PrCd6, relaxed; ΔE_f = -0.0804 eV per atom; ρ = 3.69 g cm⁻³
1.0
-4.077 -0.657 6.348
6.521 -3.257 2.055
1.865 7.338 0.160
Li Cd Pr
12 6 1
direct
0.430 0.158 0.430
0.893 0.500 0.107
0.107 0.500 0.893
0.107 0.893 0.500
0.893 0.107 0.500
0.570 0.570 0.842
0.570 0.842 0.570
0.158 0.430 0.430
0.500 0.107 0.893
0.430 0.430 0.158
0.842 0.570 0.570
0.500 0.893 0.107
0.756 0.268 0.756
0.756 0.756 0.268
0.732 0.244 0.244
0.244 0.732 0.244
0.268 0.756 0.756
0.244 0.244 0.732
0.000 0.000 0.000

=====

[8]
PBE-GGA RbHoBi2, relaxed; ΔE_f = -0.3609 eV per atom; ρ = 6.70 g cm⁻³
1.0
4.851 0.000 0.000
2.426 4.201 0.000
2.426 1.400 8.124
Bi Rb Ho
2 1 1
direct
0.726 0.726 0.823
0.274 0.274 0.177
0.500 0.500 0.500
0.000 0.000 0.000

=====

[9]
PBE-GGA SiPOs2, relaxed; uncorrected formation energy = 0.06 eV/atom; ρ = 13.06 g cm⁻³
1.0
7.687 -0.018 -0.011
7.134 2.862 -0.011
7.134 1.369 2.514
Si P Os
1 1 2
direct
0.751 0.751 0.751
0.501 0.501 0.501
0.008 0.008 0.008
0.240 0.240 0.240

=====

[10]
PBE-GGA Li4MgZr3Se8, relaxed; uncorrected formation energy = -1.31 eV/atom; ρ = 4.81 g cm⁻³
1.0
7.651 0.000 0.000
0.000 7.870 0.147
-3.826 -3.821 5.414
Li Se Mg Zr
4 8 1 3
direct
0.000 0.000 0.500
0.500 0.000 0.500
0.500 0.000 0.000
0.000 0.000 0.000
0.751 0.253 0.002
0.751 0.752 0.501
0.250 0.253 0.002
0.751 0.253 0.503
0.750 0.747 0.998
0.249 0.747 0.497
0.249 0.747 0.998
0.249 0.248 0.499
0.000 0.500 0.000
0.000 0.500 0.500
0.500 0.500 0.000
0.500 0.500 0.500

=====

[11]
PBE-GGA In2Ir, relaxed; ΔE_f = 0.1285 eV per atom; ρ = 11.60 g cm⁻³
1.0
-2.993 -0.662 0.848
1.215 -1.256 -2.657
2.223 -5.452 3.594
In Ir
2 1
direct
0.667 0.333 0.696
0.333 0.667 0.304
0.000 0.000 0.000

=====

[12]
PBE-GGA BaCaCu2H8, relaxed; total DFT energy (no corrections) = -39.071 eV for the cell shown; ρ = 3.39 g cm⁻³
1.0
-4.415 1.498 -0.206
0.977 -4.122 1.958
0.896 3.629 7.193
H Ba Cu Ca
8 1 2 1
direct
0.333 0.667 0.944
0.989 0.341 0.698
0.352 0.011 0.698
0.667 0.333 0.056
0.341 0.352 0.302
0.648 0.989 0.302
0.659 0.648 0.698
0.011 0.659 0.302
0.000 0.000 0.000
0.333 0.667 0.742
0.667 0.333 0.258
0.000 0.000 0.500

=====

Question: ρ of number 8 (RbHoBi2)?
Answer: 6.70 g cm⁻³